Entry 1:
First-principles (GGA-PBE) data for a relaxed YSnGe crystal, as listed in the Alexandria database.

The structure belongs to space group Cmcm (No. 63); the cell edges are 4.574, 11.227 and 5.974 Å and the angles 90.00°, 90.00° and 90.00°. The distinct sites, in fractional coordinates, are Y at (0.000, 0.151, 0.250), Sn at (0.000, 0.453, 0.250) and Ge at (0.000, 0.178, 0.750).

=====

Entry 2:
First-principles (GGA-PBE) data for a relaxed YSnGe crystal, as listed in the Alexandria database.

The structure belongs to space group Cmcm (No. 63); the cell edges are 4.312, 16.477 and 4.057 Å and the angles 90.00°, 90.00° and 90.00°. The distinct sites, in fractional coordinates, are Y at (0.000, 0.095, 0.250), Sn at (0.000, 0.258, 0.750) and Ge at (0.000, 0.447, 0.250).

=====

Entry 3:
First-principles (GGA-PBE) data for a relaxed Y2SnGe crystal, as listed in the Alexandria database.

The structure belongs to space group P4/mmm (No. 123); the cell edges are 3.401, 3.401 and 8.535 Å and the angles 90.00°, 90.00° and 90.00°. The distinct sites, in fractional coordinates, are Y at (0.000, 0.000, 0.226), Sn at (0.500, 0.500, 0.500) and Ge at (0.500, 0.500, 0.000).

=====

Entry 4:
First-principles (GGA-PBE) data for a relaxed Y3SnGe2 crystal, as listed in the Alexandria database.

The structure belongs to space group Cmmm (No. 65); the cell edges are 4.376, 15.942 and 4.210 Å and the angles 90.00°, 90.00° and 90.00°. The distinct sites, in fractional coordinates, are Y at (0.000, 0.000, 0.000), Y at (0.000, 0.171, 0.500), Sn at (0.000, 0.500, 0.500) and Ge at (0.000, 0.344, 0.000).

=====

Entry 5:
First-principles (GGA-PBE) data for a relaxed Y2SnGe2 crystal, as listed in the Alexandria database.

The structure belongs to space group I4/mmm (No. 139); the cell edges are 3.799, 3.799 and 17.242 Å and the angles 90.00°, 90.00° and 90.00°. The distinct sites, in fractional coordinates, are Y at (0.000, 0.000, 0.114), Sn at (0.000, 0.000, 0.500) and Ge at (0.000, 0.500, 0.250).

=====

Entry 6:
First-principles (GGA-PBE) data for a relaxed YSnGe2 crystal, as listed in the Alexandria database.

The structure belongs to space group P4/mmm (No. 123); the cell edges are 4.636, 4.636 and 4.143 Å and the angles 90.00°, 90.00° and 90.00°. The distinct sites, in fractional coordinates, are Y at (0.000, 0.000, 0.000), Sn at (0.500, 0.500, 0.000) and Ge at (0.000, 0.500, 0.500).

=====

Entry 7:
First-principles (GGA-PBE) data for a relaxed YSnGe crystal, as listed in the Alexandria database.

The structure belongs to space group I4mm (No. 107); the cell edges are 3.720, 3.720 and 10.415 Å and the angles 90.00°, 90.00° and 90.00°. The distinct sites, in fractional coordinates, are Y at (0.000, 0.000, 0.000), Sn at (0.000, 0.000, 0.306) and Ge at (0.000, 0.000, 0.683).

=====

Entry 8:
First-principles (GGA-PBE) data for a relaxed Y2SnGe2 crystal, as listed in the Alexandria database.

The structure belongs to space group Cmmm (No. 65); the cell edges are 3.958, 14.864 and 4.078 Å and the angles 90.00°, 90.00° and 90.00°. The distinct sites, in fractional coordinates, are Y at (0.000, 0.134, 0.000), Sn at (0.000, 0.500, 0.500) and Ge at (0.000, 0.307, 0.500).

=====

Entry 9:
First-principles (GGA-PBE) data for a relaxed YSnGe2 crystal, as listed in the Alexandria database.

The structure belongs to space group R-3m (No. 166, hexagonal axes); the cell edges are 4.7399, 4.7399 and 21.4313 Å and the angles 90.00°, 90.00° and 120.00°. The distinct sites, in fractional coordinates, are Y at (0.0000, 0.0000, 0.0000), Sn at (0.0000, 0.0000, 0.5000) and Ge at (0.0000, 0.0000, 0.3807).

=====

Entry 10:
First-principles (GGA-PBE) data for a relaxed YSnGe crystal, as listed in the Alexandria database.

The structure belongs to space group P3m1 (No. 156); the cell edges are 4.8548, 4.8548 and 3.6529 Å and the angles 90.00°, 90.00° and 120.00°. The distinct sites, in fractional coordinates, are Y at (0.0000, 0.0000, 0.0000), Sn at (0.6667, 0.3333, 0.5017) and Ge at (0.3333, 0.6667, 0.4969).

=====

Entry 11:
First-principles (GGA-PBE) data for a relaxed Y4Sn2Ge crystal, as listed in the Alexandria database.

As for the energy above the most stable polymorph in this dataset: 223 meV/atom.

The structure belongs to space group I4/mmm (No. 139); the cell edges are 5.223, 5.223 and 16.148 Å and the angles 90.00°, 90.00° and 90.00°. The distinct sites, in fractional coordinates, are Y at (0.000, 0.000, 0.175), Y at (0.000, 0.500, 0.000), Sn at (0.000, 0.000, 0.367) and Ge at (0.000, 0.000, 0.000).

=====

Entry 12:
First-principles (GGA-PBE) data for a relaxed Y3SnGe crystal, as listed in the Alexandria database.

As for the energy above the most stable polymorph in this dataset: 97 meV/atom.

The structure belongs to space group Pm-3m (No. 221); the cell edges are 5.369, 5.369 and 5.369 Å and the angles 90.00°, 90.00° and 90.00°. The distinct sites, in fractional coordinates, are Y at (0.000, 0.000, 0.500), Sn at (0.500, 0.500, 0.500) and Ge at (0.000, 0.000, 0.000).

=====

Entry 13:
First-principles (GGA-PBE) data for a relaxed Y5SnGe2 crystal, as listed in the Alexandria database.

The structure belongs to space group I4/mcm (No. 140); the cell edges are 7.896, 7.896 and 13.587 Å and the angles 90.00°, 90.00° and 90.00°. The distinct sites, in fractional coordinates, are Y at (0.000, 0.000, 0.000), Y at (0.157, 0.343, 0.142), Sn at (0.000, 0.000, 0.250) and Ge at (0.146, 0.354, 0.500).

=====

Entry 14:
First-principles (GGA-PBE) data for a relaxed Y4SnGe2 crystal, as listed in the Alexandria database.

The structure belongs to space group I-42d (No. 122); the cell edges are 9.060, 9.060 and 8.943 Å and the angles 90.00°, 90.00° and 90.00°. The distinct sites, in fractional coordinates, are Y at (0.067, 0.178, 0.314), Sn at (0.000, 0.000, 0.000) and Ge at (0.128, 0.250, 0.625).

=====

Entry 15:
First-principles (GGA-PBE) data for a relaxed Y4Sn2Ge crystal, as listed in the Alexandria database.

As for the energy above the most stable polymorph in this dataset: 0 meV/atom.

The structure belongs to space group C2/m (No. 12); the cell edges are 11.525, 4.610 and 8.697 Å and the angles 90.00°, 122.55° and 90.00°. The distinct sites, in fractional coordinates, are Y at (0.082, 0.000, 0.373), Y at (0.174, 0.500, 0.070), Sn at (0.146, 0.500, 0.665) and Ge at (0.000, 0.000, 0.000).

=====

Entry 16:
First-principles (GGA-PBE) data for a relaxed Y3SnGe crystal, as listed in the Alexandria database.

As for the energy above the most stable polymorph in this dataset: 0 meV/atom.

The structure belongs to space group P-1 (No. 2); the cell edges are 7.206, 7.206 and 8.124 Å and the angles 63.72°, 63.75° and 60.13°. The distinct sites, in fractional coordinates, are Y at (0.008, 0.174, 0.231), Y at (0.173, 0.588, 0.231), Y at (0.413, 0.992, 0.769), Sn at (0.371, 0.372, 0.885) and Ge at (0.166, 0.166, 0.502).

=====

Entry 17:
First-principles (GGA-PBE) data for a relaxed Y2SnGe crystal, as listed in the Alexandria database.

The structure belongs to space group P2_1/m (No. 11); the cell edges are 6.008, 4.116 and 8.640 Å and the angles 90.00°, 108.20° and 90.00°. The distinct sites, in fractional coordinates, are Y at (0.191, 0.250, 0.422), Y at (0.281, 0.750, 0.060), Sn at (0.383, 0.750, 0.707) and Ge at (0.111, 0.250, 0.797).

=====

Entry 18:
First-principles (GGA-PBE) data for a relaxed Y8Sn5Ge crystal, as listed in the Alexandria database.

The structure belongs to space group I-4 (No. 82); the cell edges are 9.211, 9.211 and 9.291 Å and the angles 90.00°, 90.00° and 90.00°. The distinct sites, in fractional coordinates, are Y at (0.068, 0.310, 0.447), Y at (0.071, 0.178, 0.801), Sn at (0.000, 0.500, 0.750), Sn at (0.122, 0.250, 0.123) and Ge at (0.000, 0.000, 0.500).

=====

Entry 19:
First-principles (GGA-PBE) data for a relaxed Y2SnGe crystal, as listed in the Alexandria database.

The structure belongs to space group I-42d (No. 122); the cell edges are 7.999, 7.999 and 6.821 Å and the angles 90.00°, 90.00° and 90.00°. The distinct sites, in fractional coordinates, are Y at (0.227, 0.750, 0.125), Sn at (0.000, 0.000, 0.500) and Ge at (0.000, 0.000, 0.000).

=====

Entry 20:
First-principles (GGA-PBE) data for a relaxed Y2SnGe crystal, as listed in the Alexandria database.

The structure belongs to space group R-3m (No. 166, hexagonal axes); the cell edges are 3.9750, 3.9750 and 24.2133 Å and the angles 90.00°, 90.00° and 120.00°. The distinct sites, in fractional coordinates, are Y at (0.0000, 0.0000, 0.2392), Sn at (0.0000, 0.0000, 0.0000) and Ge at (0.0000, 0.0000, 0.5000).

=====

| no. | energy of formation from the pure elements (meV/atom) |
| --- | --- |
| 1 | -447 |
| 2 | -640 |
| 3 | -652 |
| 4 | -647 |
| 5 | -567 |
| 6 | -397 |
| 7 | -365 |
| 8 | -675 |
| 9 | 235 |
| 10 | -361 |
| 11 | -514 |
| 12 | -451 |
| 13 | -782 |
| 14 | -835 |
| 15 | -738 |
| 16 | -548 |
| 17 | -815 |
| 18 | -784 |
| 19 | -486 |
| 20 | -647 |